Entry from the Alexandria database: a relaxed structure of ZnSn2Sb2 (PBE-GGA).

Cell and atoms, written as CIF:
```
data_ZnSn2Sb2
_chemical_formula_sum 'Zn1 Sn2 Sb2'
_cell_length_a 6.024
_cell_length_b 6.024
_cell_length_c 5.971
_cell_angle_alpha 59.71
_cell_angle_beta 59.71
_cell_angle_gamma 90.00
_symmetry_space_group_name_H-M 'P 1'
_symmetry_Int_Tables_number 1
loop_
_symmetry_equiv_pos_as_xyz
'x,y,z'
loop_
_atom_site_label
_atom_site_fract_x
_atom_site_fract_y
_atom_site_fract_z
Sn1 0.250 0.750 0.500
Sn2 0.750 0.250 0.500
Sb1 0.315 0.315 0.369
Sb2 0.685 0.685 0.631
Zn1 0.000 0.000 0.000
```

raw total energy = -3.297 eV per atom

---

Entry from the Alexandria database: a relaxed structure of CsTl2AsS4 (PBE-GGA).

Cell and atoms, written as CIF:
```
data_CsTl2AsS4
_chemical_formula_sum 'Cs2 Tl4 As2 S8'
_cell_length_a 9.043
_cell_length_b 8.519
_cell_length_c 8.424
_cell_angle_alpha 115.01
_cell_angle_beta 116.48
_cell_angle_gamma 93.10
_symmetry_space_group_name_H-M 'P 1'
_symmetry_Int_Tables_number 1
loop_
_symmetry_equiv_pos_as_xyz
'x,y,z'
loop_
_atom_site_label
_atom_site_fract_x
_atom_site_fract_y
_atom_site_fract_z
Cs1 0.008 0.476 0.019
Cs2 0.017 0.523 0.532
As1 0.521 0.456 0.517
As2 0.855 0.925 0.893
S1 0.684 0.261 0.493
S2 0.691 0.688 0.867
S3 0.743 0.145 0.024
S4 0.272 0.228 0.976
S5 0.746 0.851 0.563
S6 0.347 0.300 0.560
S7 0.288 0.821 0.528
S8 0.343 0.785 0.051
Tl1 0.038 0.049 0.533
Tl2 0.470 0.994 0.450
Tl3 0.436 0.995 0.939
Tl4 0.541 0.502 0.055
```

raw total energy = -3.741 eV per atom

---

Entry from the Alexandria database: a relaxed structure of FeAsSe (PBE-GGA).

Cell and atoms, written as CIF:
```
data_FeAsSe
_chemical_formula_sum 'Fe4 As4 Se4'
_cell_length_a 5.865
_cell_length_b 5.943
_cell_length_c 5.986
_cell_angle_alpha 66.70
_cell_angle_beta 90.00
_cell_angle_gamma 90.00
_symmetry_space_group_name_H-M 'P 1'
_symmetry_Int_Tables_number 1
loop_
_symmetry_equiv_pos_as_xyz
'x,y,z'
loop_
_atom_site_label
_atom_site_fract_x
_atom_site_fract_y
_atom_site_fract_z
As1 0.639 0.858 0.378
As2 0.861 0.858 0.878
As3 0.139 0.142 0.122
As4 0.361 0.142 0.622
Se1 0.867 0.345 0.321
Se2 0.633 0.345 0.821
Se3 0.133 0.655 0.679
Se4 0.367 0.655 0.179
Fe1 0.500 0.724 0.792
Fe2 0.000 0.276 0.708
Fe3 0.000 0.724 0.292
Fe4 0.500 0.276 0.208
```

raw total energy = -5.856 eV per atom

---

Entry from the Alexandria database: a relaxed structure of AlSb4 (PBE-GGA).

Cell and atoms, written as CIF:
```
data_AlSb4
_chemical_formula_sum 'Al1 Sb4'
_cell_length_a 6.040
_cell_length_b 6.040
_cell_length_c 6.040
_cell_angle_alpha 119.69
_cell_angle_beta 119.69
_cell_angle_gamma 90.54
_symmetry_space_group_name_H-M 'P 1'
_symmetry_Int_Tables_number 1
loop_
_symmetry_equiv_pos_as_xyz
'x,y,z'
loop_
_atom_site_label
_atom_site_fract_x
_atom_site_fract_y
_atom_site_fract_z
Sb1 0.250 0.750 0.500
Sb2 0.316 0.316 0.000
Sb3 0.684 0.684 0.000
Sb4 0.750 0.250 0.500
Al1 0.000 0.000 0.000
```

raw total energy = -3.709 eV per atom

---

Entry from the Alexandria database: a relaxed structure of PmInPdAu (PBE-GGA).

Cell and atoms, written as CIF:
```
data_PmInPdAu
_chemical_formula_sum 'Pm1 In1 Pd1 Au1'
_cell_length_a 4.816
_cell_length_b 5.176
_cell_length_c 5.178
_cell_angle_alpha 124.65
_cell_angle_beta 117.71
_cell_angle_gamma 90.00
_symmetry_space_group_name_H-M 'P 1'
_symmetry_Int_Tables_number 1
loop_
_symmetry_equiv_pos_as_xyz
'x,y,z'
loop_
_atom_site_label
_atom_site_fract_x
_atom_site_fract_y
_atom_site_fract_z
Pd1 0.025 0.975 0.049
Au1 0.484 0.517 0.967
In1 0.741 0.259 0.482
Pm1 0.251 0.749 0.501
```

DFT formation energy = -709 meV per atom
raw total energy = -4.698 eV per atom

---

Entry from the Alexandria database: a relaxed structure of MgTa2Ir (PBE-GGA).

Cell and atoms, written as CIF:
```
data_MgTa2Ir
_chemical_formula_sum 'Mg1 Ta2 Ir1'
_cell_length_a 5.492
_cell_length_b 5.492
_cell_length_c 4.486
_cell_angle_alpha 65.87
_cell_angle_beta 65.87
_cell_angle_gamma 33.86
_symmetry_space_group_name_H-M 'P 1'
_symmetry_Int_Tables_number 1
loop_
_symmetry_equiv_pos_as_xyz
'x,y,z'
loop_
_atom_site_label
_atom_site_fract_x
_atom_site_fract_y
_atom_site_fract_z
Ta1 0.016 0.016 0.984
Ta2 0.484 0.484 0.516
Ir1 0.750 0.750 0.750
Mg1 0.250 0.250 0.250
```

DFT formation energy = -198 meV per atom
raw total energy = -8.738 eV per atom

---

Entry from the Alexandria database: a relaxed structure of Ac5Tl2RuO (PBE-GGA).

Cell and atoms, written as CIF:
```
data_Ac5Tl2RuO
_chemical_formula_sum 'Ac10 Tl4 Ru2 O2'
_cell_length_a 4.295
_cell_length_b 10.131
_cell_length_c 14.769
_cell_angle_alpha 90.00
_cell_angle_beta 90.00
_cell_angle_gamma 102.24
_symmetry_space_group_name_H-M 'P 1'
_symmetry_Int_Tables_number 1
loop_
_symmetry_equiv_pos_as_xyz
'x,y,z'
loop_
_atom_site_label
_atom_site_fract_x
_atom_site_fract_y
_atom_site_fract_z
Ac1 0.045 0.090 0.016
Ac2 0.709 0.418 0.160
Ac3 0.955 0.910 0.516
Ac4 0.316 0.632 0.386
Ac5 0.503 0.006 0.288
Ac6 0.342 0.683 0.007
Ac7 0.684 0.368 0.886
Ac8 0.291 0.582 0.660
Ac9 0.497 0.994 0.788
Ac10 0.658 0.317 0.507
Tl1 0.112 0.224 0.687
Tl2 0.864 0.728 0.823
Tl3 0.888 0.776 0.187
Tl4 0.136 0.272 0.323
Ru1 0.799 0.599 0.523
Ru2 0.201 0.401 0.023
O1 0.450 0.899 0.434
O2 0.550 0.101 0.934
```

raw total energy = -5.216 eV per atom

---

Entry from the Alexandria database: a relaxed structure of Pr2Tm (PBE-GGA).

Cell and atoms, written as CIF:
```
data_Pr2Tm
_chemical_formula_sum 'Pr4 Tm2'
_cell_length_a 3.696
_cell_length_b 8.677
_cell_length_c 6.902
_cell_angle_alpha 103.47
_cell_angle_beta 105.53
_cell_angle_gamma 90.00
_symmetry_space_group_name_H-M 'P 1'
_symmetry_Int_Tables_number 1
loop_
_symmetry_equiv_pos_as_xyz
'x,y,z'
loop_
_atom_site_label
_atom_site_fract_x
_atom_site_fract_y
_atom_site_fract_z
Pr1 0.969 0.706 0.939
Pr2 0.693 0.641 0.385
Pr3 0.307 0.359 0.615
Pr4 0.031 0.294 0.061
Tm1 0.641 0.023 0.281
Tm2 0.359 0.977 0.719
```

DFT formation energy = 32 meV per atom
raw total energy = -4.644 eV per atom

---

Entry from the Alexandria database: a relaxed structure of Cr4Si23 (PBE-GGA).

Cell and atoms, written as CIF:
```
data_Cr4Si23
_chemical_formula_sum 'Cr8 Si46'
_cell_length_a 10.147
_cell_length_b 10.147
_cell_length_c 10.147
_cell_angle_alpha 90.00
_cell_angle_beta 90.00
_cell_angle_gamma 90.00
_symmetry_space_group_name_H-M 'P 1'
_symmetry_Int_Tables_number 1
loop_
_symmetry_equiv_pos_as_xyz
'x,y,z'
loop_
_atom_site_label
_atom_site_fract_x
_atom_site_fract_y
_atom_site_fract_z
Si1 0.317 0.317 0.317
Si2 0.190 0.500 0.616
Si3 0.690 0.884 0.000
Si4 0.500 0.384 0.810
Si5 0.750 0.000 0.500
Si6 0.000 0.500 0.250
Si7 0.500 0.384 0.190
Si8 0.000 0.310 0.884
Si9 0.183 0.183 0.183
Si10 0.500 0.616 0.810
Si11 0.310 0.116 0.000
Si12 0.616 0.810 0.500
Si13 0.690 0.116 0.000
Si14 0.317 0.683 0.683
Si15 0.000 0.690 0.884
Si16 0.317 0.683 0.317
Si17 0.810 0.500 0.616
Si18 0.384 0.190 0.500
Si19 0.683 0.683 0.683
Si20 0.190 0.500 0.384
Si21 0.817 0.817 0.817
Si22 0.384 0.810 0.500
Si23 0.310 0.884 0.000
Si24 0.817 0.183 0.183
Si25 0.000 0.500 0.750
Si26 0.116 0.000 0.690
Si27 0.884 0.000 0.310
Si28 0.317 0.317 0.683
Si29 0.500 0.750 0.000
Si30 0.250 0.000 0.500
Si31 0.884 0.000 0.690
Si32 0.817 0.183 0.817
Si33 0.817 0.817 0.183
Si34 0.183 0.817 0.183
Si35 0.000 0.690 0.116
Si36 0.616 0.190 0.500
Si37 0.683 0.683 0.317
Si38 0.810 0.500 0.384
Si39 0.183 0.817 0.817
Si40 0.500 0.616 0.190
Si41 0.183 0.183 0.817
Si42 0.000 0.310 0.116
Si43 0.683 0.317 0.683
Si44 0.683 0.317 0.317
Si45 0.500 0.250 0.000
Si46 0.116 0.000 0.310
Cr1 0.500 0.500 0.500
Cr2 0.500 0.000 0.750
Cr3 0.500 0.000 0.250
Cr4 0.000 0.000 0.000
Cr5 0.250 0.500 0.000
Cr6 0.000 0.750 0.500
Cr7 0.750 0.500 0.000
Cr8 0.000 0.250 0.500
```

raw total energy = -5.649 eV per atom

---

Entry from the Alexandria database: a relaxed structure of Sm5Cd2Ru2 (PBE-GGA).

Cell and atoms, written as CIF:
```
data_Sm5Cd2Ru2
_chemical_formula_sum 'Sm10 Cd4 Ru4'
_cell_length_a 7.800
_cell_length_b 7.591
_cell_length_c 9.059
_cell_angle_alpha 114.77
_cell_angle_beta 90.00
_cell_angle_gamma 90.00
_symmetry_space_group_name_H-M 'P 1'
_symmetry_Int_Tables_number 1
loop_
_symmetry_equiv_pos_as_xyz
'x,y,z'
loop_
_atom_site_label
_atom_site_fract_x
_atom_site_fract_y
_atom_site_fract_z
Sm1 0.830 0.785 0.233
Sm2 0.170 0.449 0.233
Sm3 0.170 0.215 0.767
Sm4 0.000 0.000 0.000
Sm5 0.670 0.285 0.233
Sm6 0.330 0.949 0.233
Sm7 0.500 0.500 0.000
Sm8 0.830 0.551 0.767
Sm9 0.670 0.051 0.767
Sm10 0.330 0.715 0.767
Ru1 0.135 0.632 0.000
Ru2 0.365 0.132 0.000
Ru3 0.635 0.868 0.000
Ru4 0.865 0.368 0.000
Cd1 0.500 0.718 0.436
Cd2 0.000 0.782 0.564
Cd3 0.500 0.282 0.564
Cd4 0.000 0.218 0.436
```

DFT formation energy = -263 meV per atom
raw total energy = -5.149 eV per atom

---

Entry from the Alexandria database: a relaxed structure of Y2BO4 (PBE-GGA).

Cell and atoms, written as CIF:
```
data_Y2BO4
_chemical_formula_sum 'Y2 B1 O4'
_cell_length_a 5.512
_cell_length_b 5.512
_cell_length_c 5.159
_cell_angle_alpha 122.29
_cell_angle_beta 122.29
_cell_angle_gamma 90.00
_symmetry_space_group_name_H-M 'P 1'
_symmetry_Int_Tables_number 1
loop_
_symmetry_equiv_pos_as_xyz
'x,y,z'
loop_
_atom_site_label
_atom_site_fract_x
_atom_site_fract_y
_atom_site_fract_z
Y1 0.250 0.750 0.500
Y2 0.750 0.250 0.500
B1 0.500 0.500 0.000
O1 0.466 0.785 0.251
O2 0.785 0.466 0.251
O3 0.534 0.534 0.749
O4 0.215 0.215 0.749
```

raw total energy = -8.419 eV per atom

---

Entry from the Alexandria database: a relaxed structure of DySc3Ir2 (PBE-GGA).

Cell and atoms, written as CIF:
```
data_DySc3Ir2
_chemical_formula_sum 'Dy2 Sc6 Ir4'
_cell_length_a 4.329
_cell_length_b 6.923
_cell_length_c 8.423
_cell_angle_alpha 90.00
_cell_angle_beta 90.00
_cell_angle_gamma 90.00
_symmetry_space_group_name_H-M 'P 1'
_symmetry_Int_Tables_number 1
loop_
_symmetry_equiv_pos_as_xyz
'x,y,z'
loop_
_atom_site_label
_atom_site_fract_x
_atom_site_fract_y
_atom_site_fract_z
Sc1 0.000 0.985 0.083
Sc2 0.000 0.485 0.917
Sc3 0.000 0.359 0.311
Sc4 0.500 0.145 0.830
Sc5 0.500 0.645 0.170
Sc6 0.000 0.859 0.689
Ir1 0.000 0.746 0.349
Ir2 0.000 0.246 0.651
Ir3 0.500 0.250 0.144
Ir4 0.500 0.750 0.856
Dy1 0.500 0.516 0.578
Dy2 0.500 0.016 0.422
```

DFT formation energy = -781 meV per atom
raw total energy = -7.667 eV per atom

---

Computed calculated volume, in the same sequence as the records: 151.9 502.4 191.6 156.6 87.6 68.2 628.0 207.0 1044.9 487.1 102.7 252.4 Å³/cell.